Below is a relaxed structure of ZrNb2, with properties calculated at the PBE level.

a = 5.5882 Å, b = 5.5882 Å, c = 8.9723 Å
α = 90.00°, β = 90.00°, γ = 120.00°
Space group P6_3/mmc (No. 194)
One atom of each set of equivalent atoms:
1 Zr 0.3333 0.6667 0.0634 [4 per cell]
2 Nb 0.0000 0.0000 0.0000 [2 per cell]
3 Nb 0.1711 0.3423 0.7500 [6 per cell]

Values from the calculation:
calculated total energy: -114.69 eV for the cell shown